## PmV2PbO8 (GGA+U)

Data for a relaxed structure of PmV2PbO8.

SG: P-3m1, No. 164
crystal system: trigonal
Fermi-level density of states: 0.3509 states/eV/atom
total DFT energy (no corrections): -7.227 eV per atom
total moment: 0.00 μB/f.u.

a = 5.912 Å, b = 5.912 Å, c = 6.818 Å
α = 90.00°, β = 90.00°, γ = 120.00°
Fractional positions:
Pm  0.000  0.000  0.000
V  0.333  0.667  0.317
V  0.667  0.333  0.683
Pb  0.000  0.000  0.500
O  0.167  0.334  0.237
O  0.167  0.833  0.237
O  0.333  0.667  0.558
O  0.334  0.167  0.763
O  0.666  0.833  0.237
O  0.667  0.333  0.442
O  0.833  0.167  0.763
O  0.833  0.666  0.763